# ReP2Ir

Crystalline ReP2Ir at its relaxed geometry (PBE, Alexandria).

Cell: 5.299 5.299 6.441 Å, 65.71 65.71 90.00°
Fractional positions:
P (0.123, 0.625, 0.250)
Re (0.250, 0.750, 0.500)
P (0.375, 0.373, 0.750)
P (0.875, 0.877, 0.750)
P (0.627, 0.125, 0.250)
Ir (0.750, 0.250, 0.500)
Re (0.500, 0.500, 0.000)
Ir (0.000, 0.000, 0.000)

Values from the calculation:
- Relative energy among the computed polymorphs: 216 meV/atom
- Formation energy: -0.0862 eV/atom
- Crystal system: tetragonal